# 1
## IrWI2 (PBE-GGA)

Data for crystalline IrWI2 at its relaxed geometry.

Computed properties:
The space group is No. 225. The mass density is 13162 kg/m³. The volume is 19.866 Å³ per atom. The energy above the most stable polymorph in this dataset comes out at 0.02 eV per formula unit. Its density of states at the Fermi level is 0.938 states/eV/atom.

Cell lengths 4.8257, 4.8257, 4.8257 Å; angles 60.00, 60.00, 60.00 degrees
With the nearest neighbours (Å) after each atom.
Atoms (fractional coordinates):
Ir  0.0000  0.0000  0.0000  8 I 2.96
W  0.5000  0.5000  0.5000  8 I 2.96
I  0.2500  0.2500  0.2500  4 W 2.96, 4 Ir 2.96
I  0.7500  0.7500  0.7500  4 W 2.96, 4 Ir 2.96

***

# 2
## TaCdSe (PBE-GGA)

Data for crystalline TaCdSe at its relaxed geometry.

Computed properties:
The space group is No. 187. The mass density is 10178 kg/m³. The volume is 20.248 Å³ per atom. The energy above the most stable polymorph in this dataset comes out at 1.06 eV per formula unit. Its density of states at the Fermi level is 0.713 states/eV/atom.

Cell lengths 4.4487, 4.4487, 3.5441 Å; angles 90.00, 90.00, 120.00 degrees
With the nearest neighbours (Å) after each atom.
Atoms (fractional coordinates):
Ta  0.0000  0.0000  0.0000  3 Se 2.57
Cd  0.6667  0.3333  0.5000  6 Ta 3.12, 6 Se 3.12
Se  0.3333  0.6667  0.0000  3 Ta 2.57

***

# 3
## CaTcSe2 (PBE-GGA)

Data for crystalline CaTcSe2 at its relaxed geometry.

Computed properties:
The space group is No. 123. The mass density is 5497 kg/m³. The volume is 22.354 Å³ per atom. The energy above the most stable polymorph in this dataset comes out at 0.70 eV per formula unit. Its density of states at the Fermi level is 0.651 states/eV/atom.

Cell lengths 3.9870, 3.9870, 5.6248 Å; angles 90.00, 90.00, 90.00 degrees
With the nearest neighbours (Å) after each atom.
Atoms (fractional coordinates):
Ca  0.0000  0.0000  0.0000  6 Se 2.81-2.82
Tc  0.5000  0.5000  0.5000  6 Se 2.81-2.82
Se  0.0000  0.0000  0.5000  2 Ca 2.81, 4 Tc 2.82
Se  0.5000  0.5000  0.0000  2 Tc 2.81, 4 Ca 2.82

***

# 4
## RbBa2SrPt (PBE-GGA)

Data for crystalline RbBa2SrPt at its relaxed geometry.

Computed properties:
The space group is No. 123. The mass density is 4168 kg/m³. The volume is 51.227 Å³ per atom. Its density of states at the Fermi level is 0.541 states/eV/atom. The value obtained for the energy of formation from the pure elements is -34.6 kJ/mol of atoms.

Cell lengths 6.4166, 6.4166, 6.2209 Å; angles 90.00, 90.00, 90.00 degrees
With the nearest neighbours (Å) after each atom.
Atoms (fractional coordinates):
Rb  0.0000  0.0000  0.0000  8 Ba 4.47, 4 Sr 4.54
Ba  0.0000  0.5000  0.5000  2 Pt 3.21
Ba  0.5000  0.0000  0.5000  2 Pt 3.21
Sr  0.5000  0.5000  0.0000  2 Pt 3.11
Pt  0.5000  0.5000  0.5000  2 Sr 3.11, 4 Ba 3.21

***

# 5
## ReNi2Se (PBE-GGA)

Data for crystalline ReNi2Se at its relaxed geometry.

Computed properties:
The space group is No. 122. The mass density is 11397 kg/m³. For the final energy, the calculation gives -6.43 eV per atom. The volume is 13.935 Å³ per atom. Its density of states at the Fermi level is 0.637 states/eV/atom.

Cell lengths 5.3520, 5.3520, 5.3520 Å; angles 102.35, 102.35, 124.90 degrees
With the nearest neighbours (Å) after each atom.
Atoms (fractional coordinates):
Re  0.0000  0.0000  0.0000  2 Se 2.48, 4 Ni 2.54
Re  0.7500  0.2500  0.5000  2 Se 2.48, 4 Ni 2.54
Ni  0.1443  0.6250  0.0193  2 Se 2.37, 2 Ni 2.49, 2 Re 2.54
Ni  0.3750  0.3943  0.5193  2 Se 2.37, 2 Ni 2.49, 2 Re 2.54
Ni  0.6057  0.1250  0.9807  2 Se 2.37, 2 Ni 2.49, 2 Re 2.54
Ni  0.8750  0.8557  0.4807  2 Se 2.37, 2 Ni 2.49, 2 Re 2.54
Se  0.2500  0.7500  0.5000  4 Ni 2.37, 2 Re 2.48
Se  0.5000  0.5000  0.0000  4 Ni 2.37, 2 Re 2.48

***

# 6
## Ba2NaLi3Pb4 (PBE-GGA)

Data for crystalline Ba2NaLi3Pb4 at its relaxed geometry.

Computed properties:
The space group is No. 115. The mass density is 6211 kg/m³. The volume is 30.674 Å³ per atom. Its density of states at the Fermi level is 0.771 states/eV/atom. The value obtained for the energy of formation from the pure elements is -30.7 kJ/mol of atoms.

Cell lengths 4.9557, 4.9557, 12.4896 Å; angles 90.00, 90.00, 90.00 degrees
With the nearest neighbours (Å) after each atom.
Atoms (fractional coordinates):
Ba  0.0000  0.5000  0.2376  8 Pb 3.76-3.87, 6 Li 3.80-4.11, 2 Na 4.11
Ba  0.5000  0.0000  0.7624  8 Pb 3.76-3.87, 6 Li 3.80-4.11, 2 Na 4.11
Na  0.0000  0.0000  0.5000  4 Pb 3.13, 4 Li 3.50
Li  0.0000  0.5000  0.8799  5 Pb 2.83-2.90
Li  0.5000  0.0000  0.1201  5 Pb 2.83-2.90
Li  0.5000  0.5000  0.5000  4 Pb 3.13, 4 Na 3.50
Pb  0.0000  0.0000  0.0000  4 Li 2.90
Pb  0.0000  0.5000  0.6536  3 Li 2.83-3.13, 2 Na 3.13
Pb  0.5000  0.0000  0.3464  3 Li 2.83-3.13, 2 Na 3.13
Pb  0.5000  0.5000  0.0000  4 Li 2.90

***

# 7
## PaZn2Au2 (PBE-GGA)

Data for crystalline PaZn2Au2 at its relaxed geometry.

Computed properties:
The space group is No. 71. The mass density is 13147 kg/m³. The volume is 19.092 Å³ per atom. The energy above the most stable polymorph in this dataset comes out at 0.00 eV per formula unit. Its density of states at the Fermi level is 0.646 states/eV/atom. The value obtained for the energy of formation from the pure elements is -27.0 kJ/mol of atoms.

Cell lengths 5.0714, 5.0714, 5.0714 Å; angles 123.95, 104.21, 101.30 degrees
With the nearest neighbours (Å) after each atom.
Atoms (fractional coordinates):
Pa  0.0000  0.0000  0.0000  4 Au 3.02, 4 Zn 3.05
Zn  0.3066  0.5000  0.8066  1 Zn 2.41, 2 Au 2.67
Zn  0.6934  0.5000  0.1934  1 Zn 2.41, 2 Au 2.67
Au  0.2896  0.7896  0.5000  2 Zn 2.67, 1 Au 2.71
Au  0.7104  0.2104  0.5000  2 Zn 2.67, 1 Au 2.71

***

# 8
## Zr2OsBr (PBE-GGA)

Data for crystalline Zr2OsBr at its relaxed geometry.

Computed properties:
The space group is No. 122. The mass density is 6575 kg/m³. The volume is 28.575 Å³ per atom. The energy above the most stable polymorph in this dataset comes out at 3.29 eV per formula unit. Its density of states at the Fermi level is 0.621 states/eV/atom.

Cell lengths 7.7951, 7.7951, 7.7951 Å; angles 135.60, 135.60, 64.59 degrees
With the nearest neighbours (Å) after each atom.
Atoms (fractional coordinates):
Zr  0.0821  0.6250  0.9571  2 Os 2.52, 2 Br 2.80
Zr  0.3750  0.3321  0.4571  2 Os 2.52, 2 Br 2.80
Zr  0.6679  0.1250  0.0429  2 Os 2.52, 2 Br 2.80
Zr  0.8750  0.9179  0.5429  2 Os 2.52, 2 Br 2.80
Os  0.0000  0.0000  0.0000  4 Zr 2.52
Os  0.7500  0.2500  0.5000  4 Zr 2.52
Br  0.2500  0.7500  0.5000  4 Zr 2.80
Br  0.5000  0.5000  0.0000  4 Zr 2.80

***

# 9
## Pr5ErTm6 (PBE-GGA)

Data for crystalline Pr5ErTm6 at its relaxed geometry.

Computed properties:
The space group is No. 71. The mass density is 8016 kg/m³. The volume is 32.548 Å³ per atom. Its density of states at the Fermi level is 1.400 states/eV/atom. The value obtained for the energy of formation from the pure elements is 2.4 kJ/mol of atoms.

Cell lengths 9.4910, 9.4910, 9.4910 Å; angles 148.77, 116.54, 72.43 degrees
With the nearest neighbours (Å) after each atom.
Atoms (fractional coordinates):
Pr  0.0000  0.0000  0.0000  8 Tm 3.57-3.58, 4 Pr 3.61
Pr  0.1669  0.6669  0.5000  8 Tm 3.57-3.58, 4 Pr 3.61-3.64
Pr  0.3359  0.3359  0.0000  8 Tm 3.53-3.61, 2 Er 3.58, 2 Pr 3.64
Pr  0.6641  0.6641  0.0000  8 Tm 3.53-3.61, 2 Er 3.58, 2 Pr 3.64
Pr  0.8331  0.3331  0.5000  8 Tm 3.57-3.58, 4 Pr 3.61-3.64
Er  0.5000  0.0000  0.5000  8 Tm 3.56, 4 Pr 3.58
Tm  0.0849  0.8339  0.2510  1 Er 3.56, 7 Pr 3.56-3.61, 4 Tm 3.61-3.62
Tm  0.2516  0.5000  0.7516  6 Pr 3.53-3.58, 2 Er 3.56, 4 Tm 3.61
Tm  0.4171  0.1661  0.2510  1 Er 3.56, 7 Pr 3.56-3.61, 4 Tm 3.61-3.62
Tm  0.5829  0.8339  0.7490  1 Er 3.56, 7 Pr 3.56-3.61, 4 Tm 3.61-3.62
Tm  0.7484  0.5000  0.2484  6 Pr 3.53-3.58, 2 Er 3.56, 4 Tm 3.61
Tm  0.9151  0.1661  0.7490  1 Er 3.56, 7 Pr 3.56-3.61, 4 Tm 3.61-3.62

***

# 10
## YAsOs2 (PBE-GGA)

Data for crystalline YAsOs2 at its relaxed geometry.

Computed properties:
The space group is No. 47. The mass density is 12957 kg/m³. The volume is 17.438 Å³ per atom. Its density of states at the Fermi level is 1.267 states/eV/atom. The value obtained for the energy of formation from the pure elements is 26.7 kJ/mol of atoms.

Cell lengths 3.1463, 4.6124, 4.8064 Å; angles 90.00, 90.00, 90.00 degrees
With the nearest neighbours (Å) after each atom.
Atoms (fractional coordinates):
Y  0.0000  0.0000  0.0000  4 As 2.79, 4 Os 2.87
As  0.5000  0.5000  0.0000  4 Y 2.79, 4 Os 2.87
Os  0.0000  0.5000  0.5000  4 Os 2.79, 4 As 2.87
Os  0.5000  0.0000  0.5000  4 Os 2.79, 4 Y 2.87

***

# 11
## NaLiAcCu (PBE-GGA)

Data for crystalline NaLiAcCu at its relaxed geometry.

Computed properties:
The space group is No. 216. The mass density is 5026 kg/m³. The volume is 26.473 Å³ per atom. Its density of states at the Fermi level is 0.845 states/eV/atom. The value obtained for the energy of formation from the pure elements is 16.5 kJ/mol of atoms.

Cell lengths 5.3104, 5.3104, 5.3104 Å; angles 60.00, 60.00, 60.00 degrees
With the nearest neighbours (Å) after each atom.
Atoms (fractional coordinates):
Na  0.0000  0.0000  0.0000  4 Li 3.25, 4 Cu 3.25
Li  0.7500  0.7500  0.7500  4 Ac 3.25, 4 Na 3.25
Ac  0.5000  0.5000  0.5000  4 Cu 3.25, 4 Li 3.25
Cu  0.2500  0.2500  0.2500  4 Ac 3.25, 4 Na 3.25

***

# 12
## Tb3ErGa3 (PBE-GGA)

Data for crystalline Tb3ErGa3 at its relaxed geometry.

Computed properties:
The space group is No. 176. The mass density is 8176 kg/m³. The volume is 24.756 Å³ per atom. Its density of states at the Fermi level is 0.648 states/eV/atom. The value obtained for the energy of formation from the pure elements is -39.3 kJ/mol of atoms.

Cell lengths 9.1166, 9.1166, 4.8151 Å; angles 90.00, 90.00, 120.00 degrees
With the nearest neighbours (Å) after each atom.
Atoms (fractional coordinates):
Tb  0.0136  0.7593  0.2500  4 Ga 2.94-3.04
Tb  0.2407  0.2543  0.2500  4 Ga 2.94-3.04
Tb  0.2543  0.0136  0.7500  4 Ga 2.94-3.04
Tb  0.7457  0.9864  0.2500  4 Ga 2.94-3.04
Tb  0.7593  0.7457  0.7500  4 Ga 2.94-3.04
Tb  0.9864  0.2407  0.7500  4 Ga 2.94-3.04
Er  0.3333  0.6667  0.7500  9 Ga 3.17-3.32
Er  0.6667  0.3333  0.2500  9 Ga 3.17-3.32
Ga  0.0581  0.4501  0.2500  4 Tb 2.94-3.04, 2 Ga 2.95, 1 Er 3.17
Ga  0.3920  0.9419  0.2500  4 Tb 2.94-3.04, 2 Ga 2.95, 1 Er 3.17
Ga  0.4501  0.3920  0.7500  4 Tb 2.94-3.04, 2 Ga 2.95, 1 Er 3.17
Ga  0.5499  0.6080  0.2500  4 Tb 2.94-3.04, 2 Ga 2.95, 1 Er 3.17
Ga  0.6080  0.0581  0.7500  4 Tb 2.94-3.04, 2 Ga 2.95, 1 Er 3.17
Ga  0.9419  0.5499  0.7500  4 Tb 2.94-3.04, 2 Ga 2.95, 1 Er 3.17